# 1
Below is RbSrLa2 after structural relaxation, with properties calculated at the PBE level.

```
RbSrLa2
1.0
-5.0645 5.0645 3.5399
5.0645 -5.0645 3.5399
5.0645 5.0645 -3.5399
Rb Sr La
2 2 4
Direct
0.0000 0.0000 0.0000 Rb
0.7500 0.2500 0.5000 Rb
0.2500 0.7500 0.5000 Sr
0.5000 0.5000 0.0000 Sr
0.1178 0.6250 0.9928 La
0.3750 0.3678 0.4928 La
0.6322 0.1250 0.0072 La
0.8750 0.8822 0.5072 La
```

Summary:
The calculation puts the formation enthalpy at 0 K at 0.617 eV/atom. The value obtained for the energy above the most stable polymorph in this dataset is 79 meV per atom.

---

# 2
Below is NbV2CdRe after structural relaxation, with properties calculated at the PBE level.

```
NbV2CdRe
1.0
4.5945 0.0000 0.0000
0.0000 4.5945 0.0000
0.0000 0.0000 4.8261
Nb V Cd Re
1 2 1 1
Direct
0.0000 0.0000 0.0000 Nb
0.0000 0.5000 0.0000 V
0.5000 0.0000 0.0000 V
0.5000 0.5000 0.5000 Cd
0.0000 0.0000 0.5000 Re
```

Summary:
The calculation puts the formation enthalpy at 0 K at 1.553 eV/atom.

---

# 3
Below is Ca2Hg2Bi after structural relaxation, with properties calculated at the PBE level.

```
Ca2Hg2Bi
1.0
-2.8563 2.8563 4.9872
2.8563 -2.8563 4.9872
2.8563 2.8563 -4.9872
Ca Hg Bi
2 2 1
Direct
0.2500 0.7500 0.5000 Ca
0.7500 0.2500 0.5000 Ca
0.1386 0.1386 0.0000 Hg
0.8614 0.8614 0.0000 Hg
0.5000 0.5000 0.0000 Bi
```

Summary:
The calculation puts the formation enthalpy at 0 K at -0.317 eV/atom. The value obtained for the energy above the most stable polymorph in this dataset is 205 meV per atom.

---

# 4
Below is Ce2SnGe2Ru5 after structural relaxation, with properties calculated at the PBE level.

```
Ce2SnGe2Ru5
1.0
9.9989 0.0000 0.0000
0.0000 9.9989 0.0000
0.0000 0.0000 3.5369
Ce Sn Ge Ru
4 2 4 10
Direct
0.1747 0.3253 0.0000 Ce
0.3253 0.8253 0.0000 Ce
0.6747 0.1747 0.0000 Ce
0.8253 0.6747 0.0000 Ce
0.0000 0.0000 0.0000 Sn
0.5000 0.5000 0.0000 Sn
0.1232 0.6232 0.0000 Ge
0.3768 0.1232 0.0000 Ge
0.6232 0.8768 0.0000 Ge
0.8768 0.3768 0.0000 Ge
0.0000 0.5000 0.5000 Ru
0.0719 0.7896 0.5000 Ru
0.2104 0.0719 0.5000 Ru
0.2896 0.5719 0.5000 Ru
0.4281 0.2896 0.5000 Ru
0.5000 0.0000 0.5000 Ru
0.5719 0.7104 0.5000 Ru
0.7104 0.4281 0.5000 Ru
0.7896 0.9281 0.5000 Ru
0.9281 0.2104 0.5000 Ru
```

Summary:
The calculation puts the formation enthalpy at 0 K at -0.448 eV/atom.

---

# 5
Below is Ba4NaFe2 after structural relaxation, with properties calculated at the PBE level.

```
Ba4NaFe2
1.0
-3.3115 3.3115 7.8318
3.3115 -3.3115 7.8318
3.3115 3.3115 -7.8318
Ba Na Fe
4 1 2
Direct
0.0000 0.5000 0.5000 Ba
0.2348 0.2348 0.0000 Ba
0.5000 0.0000 0.5000 Ba
0.7652 0.7652 0.0000 Ba
0.0000 0.0000 0.0000 Na
0.4337 0.4337 0.0000 Fe
0.5663 0.5663 0.0000 Fe
```

Summary:
The calculation puts the formation enthalpy at 0 K at 0.613 eV/atom.

---

# 6
Below is AcCd2Sb after structural relaxation, with properties calculated at the PBE level.

```
AcCd2Sb
1.0
4.0750 0.0000 0.0000
0.0000 4.0750 0.0000
0.0000 0.0000 7.0647
Ac Cd Sb
1 2 1
Direct
0.0000 0.0000 0.0000 Ac
0.5000 0.5000 0.2892 Cd
0.5000 0.5000 0.7108 Cd
0.0000 0.0000 0.5000 Sb
```

Summary:
As for the formation energy without anion corrections: -0.243 eV/atom.

---

# 7
Below is KSbOs2 after structural relaxation, with properties calculated at the PBE level.

```
KSbOs2
1.0
-2.1205 2.1205 4.2027
2.1205 -2.1205 4.2027
2.1205 2.1205 -4.2027
K Sb Os
1 1 2
Direct
0.0000 0.0000 0.0000 K
0.5000 0.5000 0.0000 Sb
0.2500 0.7500 0.5000 Os
0.7500 0.2500 0.5000 Os
```

Summary:
As for the formation energy without anion corrections: 1.525 eV/atom.

---

# 8
Below is PuMgGe after structural relaxation, with properties calculated at the PBE level.

```
PuMgGe
1.0
0.0000 3.3589 3.3589
3.3589 0.0000 3.3589
3.3589 3.3589 0.0000
Pu Mg Ge
1 1 1
Direct
0.0000 0.0000 0.0000 Pu
0.5000 0.5000 0.5000 Mg
0.7500 0.7500 0.7500 Ge
```

Summary:
The calculation puts the formation enthalpy at 0 K at -0.224 eV/atom.

---

# 9
Below is PmDyCuAg after structural relaxation, with properties calculated at the PBE level.

```
PmDyCuAg
1.0
0.0000 3.6137 3.6137
3.6137 0.0000 3.6137
3.6137 3.6137 0.0000
Pm Dy Cu Ag
1 1 1 1
Direct
0.0000 0.0000 0.0000 Pm
0.5000 0.5000 0.5000 Dy
0.7500 0.7500 0.7500 Cu
0.2500 0.2500 0.2500 Ag
```

Summary:
The calculation puts the formation enthalpy at 0 K at -0.224 eV/atom. The value obtained for the energy above the most stable polymorph in this dataset is 28 meV per atom.

---

# 10
Below is Tl2P2Pt after structural relaxation, with properties calculated at the PBE level.

```
Tl2P2Pt
1.0
6.0291 0.0000 0.0000
0.0000 6.0291 0.0000
0.0000 0.0000 6.1066
Tl P Pt
4 4 2
Direct
0.1887 0.3113 0.0000 Tl
0.3113 0.8113 0.0000 Tl
0.6887 0.1887 0.0000 Tl
0.8113 0.6887 0.0000 Tl
0.1275 0.6275 0.5000 P
0.3725 0.1275 0.5000 P
0.6275 0.8725 0.5000 P
0.8725 0.3725 0.5000 P
0.0000 0.0000 0.5000 Pt
0.5000 0.5000 0.5000 Pt
```

Summary:
The calculation puts the formation enthalpy at 0 K at -0.196 eV/atom. The value obtained for the energy above the most stable polymorph in this dataset is 0 meV per atom.

---

# 11
Below is Ho2Th2Mg after structural relaxation, with properties calculated at the PBE level.

```
Ho2Th2Mg
1.0
-2.2840 2.2840 8.1686
2.2840 -2.2840 8.1686
2.2840 2.2840 -8.1686
Ho Th Mg
2 2 1
Direct
0.0960 0.0960 0.0000 Ho
0.9040 0.9040 0.0000 Ho
0.2500 0.7500 0.5000 Th
0.7500 0.2500 0.5000 Th
0.5000 0.5000 0.0000 Mg
```

Summary:
The calculation puts the formation enthalpy at 0 K at 0.533 eV/atom. The value obtained for the energy above the most stable polymorph in this dataset is 557 meV per atom.

---

# 12
Below is B2C after structural relaxation, with properties calculated at the PBE level.

```
B2C
1.0
6.0157 -1.3130 0.0000
6.0157 1.3130 0.0000
-1.7212 0.0000 5.3347
B C
8 4
Direct
0.0202 0.0202 0.1598 B
0.2994 0.2994 0.5525 B
0.3761 0.3761 0.3072 B
0.3806 0.3806 0.8743 B
0.6194 0.6194 0.1257 B
0.6239 0.6239 0.6928 B
0.7006 0.7006 0.4475 B
0.9798 0.9798 0.8402 B
0.0406 0.0406 0.6302 C
0.2864 0.2864 0.0236 C
0.7136 0.7136 0.9764 C
0.9594 0.9594 0.3698 C
```

Summary:
The calculation puts the formation enthalpy at 0 K at 0.508 eV/atom. The value obtained for the energy above the most stable polymorph in this dataset is 322 meV per atom.

---

# 13
Below is Sr6AlZn after structural relaxation, with properties calculated at the PBE level.

```
Sr6AlZn
1.0
-2.8645 2.8645 10.2845
2.8645 -2.8645 10.2845
2.8645 2.8645 -10.2845
Sr Al Zn
6 1 1
Direct
0.0914 0.5914 0.5000 Sr
0.2479 0.2479 0.0000 Sr
0.4086 0.9086 0.5000 Sr
0.5914 0.0914 0.5000 Sr
0.7521 0.7521 0.0000 Sr
0.9086 0.4086 0.5000 Sr
0.0000 0.0000 0.0000 Al
0.5000 0.5000 0.0000 Zn
```

Summary:
The calculation puts the formation enthalpy at 0 K at -0.079 eV/atom.